[1]
Below is a relaxed structure of MnZnCd2, with properties calculated at the GGA-PBE level.

Computed properties:
Space group: Pm
E_tot (eV per atom): -2.9024
ΔE_f (eV/atom): 0.166
Total moment (μB per atom): 0.875
Density (kg/m³): 7854
DOS at the Fermi energy (states/eV/cell): 1.8

Cell: 4.2722 2.9065 6.0879 Å, 74.87 90.00 90.00°
With the nearest neighbours (Å) after each atom.
Fractional coordinates of all 4 atoms:
Cd  0.0000  0.8258  0.9963  2 Zn 2.73, 6 Cd 2.91-3.00, 1 Mn 3.00
Cd  0.5000  0.1879  0.2543  1 Zn 2.67, 2 Cd 2.91
Mn  0.0000  0.5410  0.5407  4 Zn 2.76-2.77, 2 Mn 2.91, 3 Cd 3.00-3.07
Zn  0.5000  0.9454  0.7087  3 Cd 2.67-2.73, 4 Mn 2.76-2.77, 2 Zn 2.91



[2]
Below is a relaxed structure of MnZnCd, with properties calculated at the GGA-PBE level.

Computed properties:
Space group: Cmcm
E_tot (eV per atom): -3.6459
ΔE_f (eV/atom): 0.140
Total moment (μB per atom): 1.084
Density (kg/m³): 7577
DOS at the Fermi energy (states/eV/cell): 4.0

Cell: 2.8701 4.4191 8.1708 Å, 90.00 100.12 90.00°
With the nearest neighbours (Å) after each atom.
Fractional coordinates of all 6 atoms:
Mn  0.4493  0.2500  0.8987  6 Zn 2.65-2.70, 4 Mn 2.75-2.87, 2 Cd 2.87
Mn  0.5507  0.7500  0.1013  6 Zn 2.65-2.70, 4 Mn 2.75-2.87, 2 Cd 2.87
Zn  0.9120  0.7500  0.8241  6 Mn 2.65-2.70, 2 Zn 2.87, 2 Cd 2.90
Zn  0.0880  0.2500  0.1759  6 Mn 2.65-2.70, 2 Zn 2.87, 2 Cd 2.90
Cd  0.7951  0.2500  0.5903  2 Mn 2.87, 6 Cd 2.87-3.01, 2 Zn 2.90
Cd  0.2049  0.7500  0.4097  2 Mn 2.87, 6 Cd 2.87-3.01, 2 Zn 2.90



[3]
Below is a relaxed structure of MnZnCd, with properties calculated at the GGA-PBE level.

Computed properties:
Space group: F-43m
E_tot (eV per atom): -3.4121
ΔE_f (eV/atom): 0.374
Total moment (μB per atom): 1.160
Density (kg/m³): 6712
DOS at the Fermi energy (states/eV/cell): 2.6

Cell: 4.3346 4.3346 4.3346 Å, 60.00 60.00 60.00°
With the nearest neighbours (Å) after each atom.
Fractional coordinates of all 3 atoms:
Cd  0.0000  0.0000  0.0000  4 Zn 2.65
Mn  0.5000  0.5000  0.5000  4 Zn 2.65
Zn  0.7500  0.7500  0.7500  4 Cd 2.65, 4 Mn 2.65



[4]
Below is a relaxed structure of MnZnCd2, with properties calculated at the GGA-PBE level.

Computed properties:
Space group: I-42d
E_tot (eV per atom): -2.6917
ΔE_f (eV/atom): 0.377
Total moment (μB per atom): 0.985
Density (kg/m³): 6930
DOS at the Fermi energy (states/eV/cell): 4.4

Cell: 4.1109 4.1109 10.2110 Å, 78.39 78.39 90.00°
With the nearest neighbours (Å) after each atom.
Fractional coordinates of all 8 atoms:
Zn  0.0000  0.0000  0.0000  4 Cd 2.85, 4 Mn 2.91
Zn  0.7500  0.2500  0.5000  4 Cd 2.85, 4 Mn 2.91
Mn  0.5000  0.5000  0.0000  4 Cd 2.85, 4 Zn 2.91
Mn  0.2500  0.7500  0.5000  4 Cd 2.85, 4 Zn 2.91
Cd  0.6255  0.1250  0.2500  2 Zn 2.85, 2 Mn 2.85, 4 Cd 2.90-2.91
Cd  0.1245  0.6250  0.2500  2 Zn 2.85, 2 Mn 2.85, 4 Cd 2.90-2.91
Cd  0.3750  0.3745  0.7500  2 Zn 2.85, 2 Mn 2.85, 4 Cd 2.90-2.91
Cd  0.8750  0.8755  0.7500  2 Zn 2.85, 2 Mn 2.85, 4 Cd 2.90-2.91



[5]
Below is a relaxed structure of Mn2ZnCd, with properties calculated at the GGA-PBE level.

Computed properties:
Space group: R3m
E_tot (eV per atom): -4.8434
ΔE_f (eV/atom): 0.289
Total moment (μB per atom): 0.000
Density (kg/m³): 8351
Polymorph energy (0 for the lowest one) (meV/atom): 160
DOS at the Fermi energy (states/eV/cell): 3.0

Cell: 9.2307 9.2307 9.2307 Å, 16.78 16.78 16.78°
With the nearest neighbours (Å) after each atom.
Fractional coordinates of all 4 atoms:
Cd  0.7439  0.7439  0.7439  6 Cd 2.69, 3 Mn 2.91
Mn  0.9872  0.9872  0.9872  3 Mn 2.33
Mn  0.2569  0.2569  0.2569  3 Mn 2.33
Zn  0.5120  0.5120  0.5120  3 Mn 2.64, 6 Zn 2.69



[6]
Below is a relaxed structure of MnZn2Cd2, with properties calculated at the GGA-PBE level.

Computed properties:
Space group: P4/mbm
E_tot (eV per atom): -2.4583
ΔE_f (eV/atom): 0.251
Total moment (μB per atom): 0.745
Density (kg/m³): 7254
DOS at the Fermi energy (states/eV/cell): 5.8

Cell: 6.8437 6.8437 4.0136 Å, 90.00 90.00 90.00°
With the nearest neighbours (Å) after each atom.
Fractional coordinates of all 10 atoms:
Zn  0.3680  0.8680  0.0000  1 Zn 2.56, 2 Mn 2.68, 2 Cd 2.74
Zn  0.8680  0.6320  0.0000  1 Zn 2.56, 2 Mn 2.68, 2 Cd 2.74
Zn  0.6320  0.1320  0.0000  1 Zn 2.56, 2 Mn 2.68, 2 Cd 2.74
Zn  0.1320  0.3680  0.0000  1 Zn 2.56, 2 Mn 2.68, 2 Cd 2.74
Mn  0.0000  0.0000  0.0000  4 Zn 2.68
Mn  0.5000  0.5000  0.0000  4 Zn 2.68
Cd  0.1754  0.6754  0.5000  6 Zn 2.74-2.92
Cd  0.6754  0.8246  0.5000  6 Zn 2.74-2.92
Cd  0.8246  0.3246  0.5000  6 Zn 2.74-2.92
Cd  0.3246  0.1754  0.5000  6 Zn 2.74-2.92